# 1
{"formula": "Sr2LaMo", "functional": "PBE", "state": "relaxed", "cell": [[-4.466, 0.820, 1.672], [-4.440, -1.105, -1.575], [-0.905, -7.781, 4.605]], "species": ["La", "Mo", "Sr", "Sr"], "frac_coords": [[0.524, 0.524, 0.408], [0.257, 0.257, 0.328], [0.969, 0.969, 0.071], [0.751, 0.751, 0.693]], "delta_e_f_ev_per_atom": 0.618}

# 2
{"formula": "NaTcP", "functional": "PBE", "state": "relaxed", "cell": [[3.047, -0.001, 0.000], [-1.524, 4.100, -0.001], [-0.292, -1.124, 10.095]], "species": ["Na", "Na", "Tc", "Tc", "P", "P"], "frac_coords": [[0.329, 0.374, 0.912], [0.095, 0.773, 0.594], [0.448, 0.531, 0.332], [0.706, 0.081, 0.153], [0.750, 0.124, 0.385], [0.988, 0.647, 0.146]], "delta_e_f_ev_per_atom": -0.270}

# 3
{"formula": "KTeBr", "functional": "PBE", "state": "relaxed", "cell": [[-0.031, -3.846, 4.167], [-2.653, -4.957, -0.736], [3.011, -4.776, -0.527]], "species": ["Br", "K", "Te"], "frac_coords": [[0.500, 0.500, 0.500], [0.750, 0.750, 0.750], [0.000, 0.000, 0.000]], "e_form_raw_kj_per_mol_atoms": -34.2}

# 4
{"formula": "CaEuBiBr", "functional": "PBE", "state": "relaxed", "cell": [[-1.089, 0.699, 5.456], [-4.656, -2.186, 2.233], [0.353, -4.358, 3.511]], "species": ["Eu", "Ca", "Bi", "Br"], "frac_coords": [[0.500, 0.500, 0.500], [0.000, 0.000, 0.000], [0.250, 0.250, 0.250], [0.750, 0.750, 0.750]], "e_form_raw_kj_per_mol_atoms": -111.3}

N(E_F) (computed, states/eV per cell): 5.59 2.48 3.01 18.59